[1]
Entry from Alexandria: crystalline Ba3SrHf at its relaxed geometry (GGA-PBE).

Geometry as CIF:
```
data_Ba3SrHf
_chemical_formula_sum 'Ba3 Sr1 Hf1'
_symmetry_space_group_name_H-M 'P 1'
_symmetry_Int_Tables_number 1
_symmetry_space_group_name_Hall 'P 1'
_cell_length_a 6.4041
_cell_length_b 6.4041
_cell_length_c 6.4041
_cell_angle_alpha 90.00
_cell_angle_beta 90.00
_cell_angle_gamma 90.00
loop_
_atom_site_label
_atom_site_type_symbol
_atom_site_fract_x
_atom_site_fract_y
_atom_site_fract_z
Hf1 Hf 0.5000 0.5000 0.5000
Ba1 Ba 0.0000 0.5000 0.0000
Ba2 Ba 0.5000 0.0000 0.0000
Ba3 Ba 0.0000 0.0000 0.5000
Sr1 Sr 0.0000 0.0000 0.0000
```

## Properties
The energy relative to the lowest polymorph listed for this composition is 0.741 eV/atom. The value obtained for the total DFT energy (no corrections) is -2.11 eV per atom. As for the total moment: 0.00 μB per formula unit. As for the formation enthalpy at 0 K: 1.3663 eV per atom.

=====

[2]
Entry from Alexandria: crystalline Ba2SrHf at its relaxed geometry (GGA-PBE).

Geometry as CIF:
```
data_Ba2SrHf
_chemical_formula_sum 'Ba4 Sr2 Hf2'
_symmetry_space_group_name_H-M 'P 1'
_symmetry_Int_Tables_number 1
_symmetry_space_group_name_Hall 'P 1'
_cell_length_a 9.8981
_cell_length_b 9.8981
_cell_length_c 7.8942
_cell_angle_alpha 51.18
_cell_angle_beta 51.18
_cell_angle_gamma 90.00
loop_
_atom_site_label
_atom_site_type_symbol
_atom_site_fract_x
_atom_site_fract_y
_atom_site_fract_z
Hf1 Hf 0.0000 0.0000 0.0000
Hf2 Hf 0.7500 0.2500 0.5000
Ba1 Ba 0.8750 0.9104 0.7500
Ba2 Ba 0.0896 0.6250 0.2500
Ba3 Ba 0.6604 0.1250 0.2500
Ba4 Ba 0.3750 0.3396 0.7500
Sr1 Sr 0.2500 0.7500 0.5000
Sr2 Sr 0.5000 0.5000 0.0000
```

## Properties
The energy relative to the lowest polymorph listed for this composition is 0.065 eV/atom. The value obtained for the total DFT energy (no corrections) is -3.03 eV per atom. As for the total moment: 1.72 μB per formula unit. As for the formation enthalpy at 0 K: 0.8415 eV per atom.

=====

[3]
Entry from Alexandria: crystalline Ba3SrHf at its relaxed geometry (GGA-PBE).

Geometry as CIF:
```
data_Ba3SrHf
_chemical_formula_sum 'Ba3 Sr1 Hf1'
_symmetry_space_group_name_H-M 'P 1'
_symmetry_Int_Tables_number 1
_symmetry_space_group_name_Hall 'P 1'
_cell_length_a 6.5237
_cell_length_b 6.5237
_cell_length_c 6.5237
_cell_angle_alpha 90.00
_cell_angle_beta 90.00
_cell_angle_gamma 90.00
loop_
_atom_site_label
_atom_site_type_symbol
_atom_site_fract_x
_atom_site_fract_y
_atom_site_fract_z
Hf1 Hf 0.0000 0.0000 0.0000
Ba1 Ba 0.0000 0.5000 0.0000
Ba2 Ba 0.0000 0.0000 0.5000
Ba3 Ba 0.5000 0.0000 0.0000
Sr1 Sr 0.5000 0.5000 0.5000
```

## Properties
The energy relative to the lowest polymorph listed for this composition is 0.000 eV/atom. The value obtained for the total DFT energy (no corrections) is -2.86 eV per atom. As for the total moment: 0.55 μB per formula unit. As for the formation enthalpy at 0 K: 0.6254 eV per atom.